A relaxed PaI2Cl2 crystal, computed with GGA-PBE.

a b c (Å): 8.115 8.115 8.115
angles (deg): 116.00 112.85 99.98
Element x y z (fractional)
Pa 0.000 0.239 0.239
Pa 0.000 0.761 0.761
I 0.206 0.706 0.500
I 0.221 0.221 0.000
I 0.779 0.779 0.000
I 0.794 0.294 0.500
Cl 0.282 0.232 0.514
Cl 0.282 0.768 0.050
Cl 0.718 0.232 0.950
Cl 0.718 0.768 0.486

Computed properties:
Electronic total energy in eV per atom: -4.626
Symmetry: Immm

---

A relaxed Sc4Tl4InNi2 crystal, computed with GGA-PBE.

a b c (Å): 7.602 3.352 9.255
angles (deg): 90.00 94.65 90.00
Element x y z (fractional)
Sc 0.188 0.000 0.339
Sc 0.199 0.000 0.937
Sc 0.801 0.000 0.063
Sc 0.812 0.000 0.661
Tl 0.151 0.500 0.641
Tl 0.455 0.500 0.165
Tl 0.545 0.500 0.835
Tl 0.849 0.500 0.359
In 0.500 0.500 0.500
Ni 0.073 0.500 0.130
Ni 0.927 0.500 0.870

Computed properties:
Electronic total energy in eV per atom: -4.756
Symmetry: P2/m

---

A relaxed LiZrPtSe3 crystal, computed with GGA-PBE.

a b c (Å): 7.245 7.245 10.001
angles (deg): 90.00 90.00 150.56
Element x y z (fractional)
Li 0.179 0.821 0.750
Li 0.821 0.179 0.250
Zr 0.000 0.000 0.000
Zr 0.000 0.000 0.500
Pt 0.478 0.522 0.250
Pt 0.522 0.478 0.750
Se 0.099 0.901 0.250
Se 0.359 0.641 0.058
Se 0.359 0.641 0.442
Se 0.641 0.359 0.558
Se 0.641 0.359 0.942
Se 0.901 0.099 0.750

Computed properties:
Electronic total energy in eV per atom: -5.457
Symmetry: Cmcm

---

A relaxed HoBiAsO crystal, computed with GGA-PBE.

a b c (Å): 4.891 4.891 7.336
angles (deg): 90.00 90.00 90.00
Element x y z (fractional)
Ho 0.250 0.750 0.000
Ho 0.750 0.250 0.000
Bi 0.250 0.250 0.426
Bi 0.750 0.750 0.574
As 0.250 0.250 0.818
As 0.750 0.750 0.182
O 0.250 0.750 0.500
O 0.750 0.250 0.500

Computed properties:
Relative energy among the computed polymorphs in meV per atom: 576
Electronic total energy in eV per atom: -5.328
Symmetry: P4/nmm

---

A relaxed La2NdIn3AgPd2 crystal, computed with GGA-PBE.

a b c (Å): 4.074 7.911 7.911
angles (deg): 120.17 90.00 90.00
Element x y z (fractional)
La 0.000 0.208 0.792
La 0.000 0.792 0.208
Nd 0.000 0.619 0.619
In 0.500 0.211 0.465
In 0.500 0.465 0.211
In 0.500 0.945 0.945
Ag 0.000 0.206 0.206
Pd 0.500 0.540 0.875
Pd 0.500 0.875 0.540

Computed properties:
Electronic total energy in eV per atom: -4.694
Symmetry: Amm2

---

A relaxed Ag2Se crystal, computed with GGA-PBE.

a b c (Å): 4.495 4.495 4.495
angles (deg): 60.67 60.67 60.67
Element x y z (fractional)
Ag 0.247 0.247 0.247
Ag 0.753 0.753 0.753
Se 0.500 0.500 0.500

Computed properties:
Electronic total energy in eV per atom: -3.093
Symmetry: R-3m

---

A relaxed Tb2ErGa3CuNi2 crystal, computed with GGA-PBE.

a b c (Å): 3.725 7.118 7.118
angles (deg): 119.98 90.00 90.00
Element x y z (fractional)
Tb 0.000 0.206 0.794
Tb 0.000 0.794 0.206
Er 0.000 0.382 0.382
Ga 0.500 0.051 0.051
Ga 0.500 0.538 0.792
Ga 0.500 0.792 0.538
Cu 0.000 0.792 0.792
Ni 0.500 0.129 0.459
Ni 0.500 0.459 0.129

Computed properties:
Electronic total energy in eV per atom: -4.787
Symmetry: Amm2

---

A relaxed CsYMo crystal, computed with GGA-PBE.

a b c (Å): 5.364 5.364 5.364
angles (deg): 60.00 60.00 60.00
Element x y z (fractional)
Cs 0.000 0.000 0.000
Y 0.250 0.250 0.250
Mo 0.500 0.500 0.500

Computed properties:
Relative energy among the computed polymorphs in meV per atom: 0
Electronic total energy in eV per atom: -4.086
Symmetry: F-43m

---

A relaxed LiCu3Te4Os crystal, computed with GGA-PBE.

a b c (Å): 6.023 6.023 6.023
angles (deg): 90.00 90.00 90.00
Element x y z (fractional)
Li 0.000 0.000 0.000
Cu 0.000 0.500 0.500
Cu 0.500 0.000 0.500
Cu 0.500 0.500 0.000
Te 0.252 0.252 0.252
Te 0.252 0.748 0.748
Te 0.748 0.252 0.748
Te 0.748 0.748 0.252
Os 0.500 0.500 0.500

Computed properties:
Electronic total energy in eV per atom: -4.015
Symmetry: P-43m

---

A relaxed CsUMo crystal, computed with GGA-PBE.

a b c (Å): 4.912 4.912 4.912
angles (deg): 60.00 60.00 60.00
Element x y z (fractional)
Cs 0.000 0.000 0.000
U 0.500 0.500 0.500
Mo 0.250 0.250 0.250

Computed properties:
Relative energy among the computed polymorphs in meV per atom: 0
Electronic total energy in eV per atom: -5.575
Symmetry: F-43m

---

A relaxed BeNbCu crystal, computed with GGA-PBE.

a b c (Å): 4.061 4.061 4.061
angles (deg): 60.00 60.00 60.00
Element x y z (fractional)
Be 0.000 0.000 0.000
Nb 0.250 0.250 0.250
Cu 0.500 0.500 0.500

Computed properties:
Relative energy among the computed polymorphs in meV per atom: 530
Electronic total energy in eV per atom: -4.990
Symmetry: F-43m

---

A relaxed GdAs crystal, computed with GGA-PBE.

a b c (Å): 6.262 5.661 5.578
angles (deg): 90.00 90.00 90.00
Element x y z (fractional)
Gd 0.000 0.000 0.000
Gd 0.250 0.500 0.336
Gd 0.500 0.000 0.000
Gd 0.750 0.500 0.664
As 0.250 0.000 0.478
As 0.250 0.500 0.840
As 0.750 0.000 0.522
As 0.750 0.500 0.160

Computed properties:
Electronic total energy in eV per atom: -5.575
Symmetry: Pmma

---

A relaxed Sm2HoTaO6 crystal, computed with GGA-PBE.

a b c (Å): 5.814 5.814 5.814
angles (deg): 122.07 122.07 86.45
Element x y z (fractional)
Sm 0.250 0.750 0.500
Sm 0.750 0.250 0.500
Ho 0.000 0.000 0.000
Ta 0.500 0.500 0.000
O 0.177 0.348 0.525
O 0.260 0.260 0.000
O 0.348 0.823 0.171
O 0.652 0.177 0.829
O 0.740 0.740 0.000
O 0.823 0.652 0.475

Computed properties:
Electronic total energy in eV per atom: -8.469
Symmetry: I4/m

---

A relaxed Nd2SmNi9 crystal, computed with GGA-PBE.

a b c (Å): 8.721 8.721 8.721
angles (deg): 33.34 33.34 33.34
Element x y z (fractional)
Nd 0.139 0.139 0.139
Nd 0.861 0.861 0.861
Sm 0.000 0.000 0.000
Ni 0.082 0.580 0.580
Ni 0.333 0.333 0.333
Ni 0.420 0.420 0.918
Ni 0.420 0.918 0.420
Ni 0.500 0.500 0.500
Ni 0.580 0.082 0.580
Ni 0.580 0.580 0.082
Ni 0.667 0.667 0.667
Ni 0.918 0.420 0.420

Computed properties:
Electronic total energy in eV per atom: -5.689
Symmetry: R-3m
Formation energy in eV per atom: -0.33

---

A relaxed ScNiBiAu crystal, computed with GGA-PBE.

a b c (Å): 4.749 4.749 4.749
angles (deg): 60.00 60.00 60.00
Element x y z (fractional)
Sc 0.000 0.000 0.000
Ni 0.500 0.500 0.500
Bi 0.250 0.250 0.250
Au 0.750 0.750 0.750

Computed properties:
Electronic total energy in eV per atom: -5.067
Symmetry: F-43m

---

A relaxed NdSnPtAu crystal, computed with GGA-PBE.

a b c (Å): 4.730 4.730 9.304
angles (deg): 90.00 90.00 120.00
Element x y z (fractional)
Nd 0.333 0.667 0.000
Nd 0.667 0.333 0.500
Sn 0.000 0.000 0.227
Sn 0.000 0.000 0.727
Pt 0.333 0.667 0.658
Pt 0.667 0.333 0.158
Au 0.333 0.667 0.341
Au 0.667 0.333 0.841

Computed properties:
Relative energy among the computed polymorphs in meV per atom: 14
Electronic total energy in eV per atom: -5.329
Symmetry: P6_3mc

---

A relaxed Ba4NbF2 crystal, computed with GGA-PBE.

a b c (Å): 7.055 7.055 4.039
angles (deg): 90.00 90.00 90.00
Element x y z (fractional)
Ba 0.243 0.243 0.251
Ba 0.243 0.757 0.749
Ba 0.757 0.243 0.749
Ba 0.757 0.757 0.251
Nb 0.500 0.500 0.000
F 0.000 0.500 0.000
F 0.500 0.000 0.000

Computed properties:
Electronic total energy in eV per atom: -3.938
Symmetry: P-42m

---

A relaxed Gd2HoIn3PtAu2 crystal, computed with GGA-PBE.

a b c (Å): 3.973 7.728 7.728
angles (deg): 119.83 90.00 90.00
Element x y z (fractional)
Gd 0.000 0.201 0.799
Gd 0.000 0.799 0.201
Ho 0.000 0.601 0.601
In 0.500 0.202 0.457
In 0.500 0.457 0.202
In 0.500 0.945 0.945
Pt 0.000 0.203 0.203
Au 0.500 0.535 0.866
Au 0.500 0.866 0.535

Computed properties:
Electronic total energy in eV per atom: -4.690
Symmetry: Amm2

---

A relaxed KLi4SbPd2 crystal, computed with GGA-PBE.

a b c (Å): 4.781 4.781 6.515
angles (deg): 90.00 90.00 90.00
Element x y z (fractional)
K 0.000 0.000 0.000
Li 0.000 0.000 0.500
Li 0.000 0.500 0.713
Li 0.500 0.000 0.287
Li 0.500 0.500 0.000
Sb 0.500 0.500 0.500
Pd 0.000 0.500 0.305
Pd 0.500 0.000 0.695

Computed properties:
Electronic total energy in eV per atom: -3.200
Symmetry: P-4m2

---

A relaxed YEr2Sn3Pd3 crystal, computed with GGA-PBE.

a b c (Å): 3.861 7.641 7.641
angles (deg): 120.19 90.00 90.00
Element x y z (fractional)
Y 0.000 0.000 0.000
Er 0.000 0.197 0.598
Er 0.000 0.598 0.197
Sn 0.500 0.334 0.334
Sn 0.500 0.599 0.862
Sn 0.500 0.862 0.599
Pd 0.000 0.596 0.596
Pd 0.500 0.268 0.931
Pd 0.500 0.931 0.268

Computed properties:
Electronic total energy in eV per atom: -5.727
Symmetry: Amm2

---

A relaxed Fe2SiSb crystal, computed with GGA-PBE.

a b c (Å): 5.950 5.950 5.950
angles (deg): 90.00 90.00 90.00
Element x y z (fractional)
Fe 0.231 0.231 0.231
Fe 0.231 0.231 0.769
Fe 0.231 0.769 0.231
Fe 0.231 0.769 0.769
Fe 0.769 0.231 0.231
Fe 0.769 0.231 0.769
Fe 0.769 0.769 0.231
Fe 0.769 0.769 0.769
Si 0.000 0.000 0.000
Si 0.000 0.000 0.500
Si 0.000 0.500 0.000
Si 0.500 0.000 0.000
Sb 0.000 0.500 0.500
Sb 0.500 0.000 0.500
Sb 0.500 0.500 0.000
Sb 0.500 0.500 0.500

Computed properties:
Electronic total energy in eV per atom: -6.428
Symmetry: Pm-3m

---

A relaxed Ag2Pt2O5 crystal, computed with GGA-PBE.

a b c (Å): 3.344 3.344 10.123
angles (deg): 90.00 90.00 90.00
Element x y z (fractional)
Ag 0.000 0.000 0.218
Ag 0.000 0.000 0.782
Pt 0.500 0.500 0.000
Pt 0.500 0.500 0.500
O 0.000 0.000 0.000
O 0.000 0.500 0.382
O 0.000 0.500 0.618
O 0.500 0.000 0.382
O 0.500 0.000 0.618

Computed properties:
Relative energy among the computed polymorphs in meV per atom: 216
Electronic total energy in eV per atom: -4.468
Symmetry: P4/mmm

---

A relaxed Nb4AuC2S crystal, computed with GGA-PBE.

a b c (Å): 3.264 3.264 12.656
angles (deg): 90.00 90.00 120.00
Element x y z (fractional)
Nb 0.000 0.000 0.141
Nb 0.000 0.000 0.859
Nb 0.333 0.667 0.323
Nb 0.333 0.667 0.677
Au 0.000 0.000 0.500
C 0.667 0.333 0.237
C 0.667 0.333 0.763
S 0.333 0.667 0.000

Computed properties:
Electronic total energy in eV per atom: -8.867
Symmetry: P-6m2

---

A relaxed FeAu4S4 crystal, computed with GGA-PBE.

a b c (Å): 7.037 7.037 7.037
angles (deg): 131.13 131.13 71.61
Element x y z (fractional)
Fe 0.000 0.000 0.000
Au 0.000 0.500 0.500
Au 0.250 0.250 0.000
Au 0.500 0.000 0.500
Au 0.750 0.750 0.000
S 0.119 0.636 0.000
S 0.364 0.364 0.483
S 0.636 0.119 0.000
S 0.881 0.881 0.517

Computed properties:
Electronic total energy in eV per atom: -4.087
Symmetry: I-42m

---

A relaxed TlAgSn crystal, computed with GGA-PBE.

a b c (Å): 4.924 4.924 4.924
angles (deg): 60.00 60.00 60.00
Element x y z (fractional)
Tl 0.000 0.000 0.000
Ag 0.500 0.500 0.500
Sn 0.750 0.750 0.750

Computed properties:
Relative energy among the computed polymorphs in meV per atom: 65
Electronic total energy in eV per atom: -2.884
Symmetry: F-43m